! GGA-PBE Np3Tl3TcSe8, optimized geometry; values from VASP
&SYSTEM
  ibrav = 0, nat = 15, ntyp = 4
/
ATOMIC_SPECIES
Np 237.00 Np.upf
Tl 204.38 Tl.upf
Tc 98.00 Tc.upf
Se 78.96 Se.upf
CELL_PARAMETERS angstrom
7.921 0.000 0.000
-3.960 6.858 -0.031
0.000 -4.537 8.124
ATOMIC_POSITIONS crystal
Np 0.500 0.000 0.500
Np 0.500 0.500 0.500
Np 0.000 0.500 0.500
Tl 0.000 0.000 0.000
Tl 0.000 0.500 0.000
Tl 0.500 0.500 0.000
Tc 0.000 0.000 0.500
Se 0.263 0.526 0.289
Se 0.737 0.474 0.711
Se 0.781 0.562 0.306
Se 0.219 0.438 0.694
Se 0.781 0.025 0.306
Se 0.219 0.975 0.694
Se 0.244 0.025 0.306
Se 0.756 0.975 0.694
! Uncorrected energy in eV/cell: -95.4
! Crystal system: trigonal
! Energy relative to the elements, uncorrected in eV per atom: -0.7481
! Density of states at the Fermi level in states/eV/cell: 30.90
! Mass density in g cm⁻³: 7.7

---

! GGA-PBE MgFe2Ni2, optimized geometry; values from VASP
&SYSTEM
  ibrav = 0, nat = 10, ntyp = 3
/
ATOMIC_SPECIES
Ni 58.69 Ni.upf
Mg 24.30 Mg.upf
Fe 55.84 Fe.upf
CELL_PARAMETERS angstrom
7.070 0.000 0.000
0.000 7.070 0.000
0.000 0.000 2.594
ATOMIC_POSITIONS crystal
Ni 0.176 0.676 0.500
Ni 0.676 0.824 0.500
Ni 0.824 0.324 0.500
Ni 0.324 0.176 0.500
Mg 0.000 0.000 0.000
Mg 0.500 0.500 0.000
Fe 0.382 0.882 0.000
Fe 0.882 0.618 0.000
Fe 0.618 0.118 0.000
Fe 0.118 0.382 0.000
! Uncorrected energy in eV/cell: -59.7
! Crystal system: tetragonal
! Excess energy over the best structure of this formula in the dataset in meV per atom: 15
! Density of states at the Fermi level in states/eV/cell: 8.48
! Formation energy in eV/atom: 0.0514
! Mass density in g cm⁻³: 6.5

---

! GGA-PBE Tb2Nd6HoTm3, optimized geometry; values from VASP
&SYSTEM
  ibrav = 0, nat = 12, ntyp = 4
/
ATOMIC_SPECIES
Tb 158.93 Tb.upf
Nd 144.24 Nd.upf
Ho 164.93 Ho.upf
Tm 168.93 Tm.upf
CELL_PARAMETERS angstrom
-0.836 -1.913 -5.896
5.070 -1.808 3.186
-7.153 -8.098 4.745
ATOMIC_POSITIONS crystal
Tb 0.333 0.667 0.000
Tb 0.667 0.333 0.000
Nd 0.916 0.583 0.748
Nd 0.751 0.751 0.252
Nd 0.084 0.417 0.252
Nd 0.583 0.916 0.748
Nd 0.249 0.249 0.748
Nd 0.417 0.084 0.252
Ho 0.000 0.000 0.000
Tm 0.167 0.833 0.500
Tm 0.833 0.167 0.500
Tm 0.500 0.500 0.500
! Uncorrected energy in eV/cell: -55.7
! Crystal system: monoclinic
! Density of states at the Fermi level in states/eV/cell: 12.86
! Formation energy in eV/atom: 0.0133
! Mass density in g cm⁻³: 7.8

---

! GGA-PBE K2NbI6Br, optimized geometry; values from VASP
&SYSTEM
  ibrav = 0, nat = 10, ntyp = 4
/
ATOMIC_SPECIES
K 39.10 K.upf
Nb 92.91 Nb.upf
I 126.90 I.upf
Br 79.90 Br.upf
CELL_PARAMETERS angstrom
-5.394 -5.821 -3.163
2.257 -7.827 -2.082
-2.815 -9.195 4.534
ATOMIC_POSITIONS crystal
K 0.760 0.728 0.898
K 0.943 0.863 0.214
Nb 0.316 0.318 0.049
I 0.407 0.374 0.230
I 0.351 0.885 0.280
I 0.909 0.405 0.273
I 0.284 0.727 0.795
I 0.740 0.207 0.854
I 0.231 0.254 0.865
Br 0.720 0.901 0.559
! Uncorrected energy in eV/cell: -31.4
! Crystal system: triclinic
! Energy relative to the elements, uncorrected in eV per atom: -0.8209
! Mass density in g cm⁻³: 3.7

---

! GGA-PBE AcIrPt2O8, optimized geometry; values from VASP
&SYSTEM
  ibrav = 0, nat = 12, ntyp = 4
/
ATOMIC_SPECIES
Ac 227.00 Ac.upf
Ir 192.22 Ir.upf
Pt 195.08 Pt.upf
O 16.00 O.upf
CELL_PARAMETERS angstrom
-1.947 -0.988 -5.503
0.833 -4.541 3.706
-6.528 0.598 2.202
ATOMIC_POSITIONS crystal
Ac 0.000 0.000 0.500
Ir 0.000 0.000 0.000
Pt 0.333 0.667 0.807
Pt 0.667 0.333 0.193
O 0.143 0.287 0.809
O 0.143 0.857 0.809
O 0.713 0.857 0.809
O 0.287 0.143 0.191
O 0.667 0.333 0.471
O 0.333 0.667 0.529
O 0.857 0.713 0.191
O 0.857 0.143 0.191
! Uncorrected energy in eV/cell: -72.5
! Crystal system: trigonal
! Energy relative to the elements, uncorrected in eV per atom: -0.6488
! Density of states at the Fermi level in states/eV/cell: 8.69
! Mass density in g cm⁻³: 7.4

---

! GGA-PBE CeSc3H, optimized geometry; values from VASP
&SYSTEM
  ibrav = 0, nat = 5, ntyp = 3
/
ATOMIC_SPECIES
Sc 44.96 Sc.upf
H 1.01 H.upf
Ce 140.12 Ce.upf
CELL_PARAMETERS angstrom
-1.105 2.312 -3.875
-0.606 -4.029 -2.231
-4.471 -0.026 1.260
ATOMIC_POSITIONS crystal
Sc 0.000 0.500 0.000
Sc 0.000 0.000 0.500
Sc 0.500 0.000 0.000
H 0.000 0.000 0.000
Ce 0.500 0.500 0.500
! Uncorrected energy in eV/cell: -28.7
! Crystal system: cubic
! Density of states at the Fermi level in states/eV/cell: 5.94
! Mass density in g cm⁻³: 4.6

---

! GGA-PBE CuTc3Sn, optimized geometry; values from VASP
&SYSTEM
  ibrav = 0, nat = 5, ntyp = 3
/
ATOMIC_SPECIES
Sn 118.71 Sn.upf
Cu 63.55 Cu.upf
Tc 98.00 Tc.upf
CELL_PARAMETERS angstrom
-0.218 2.658 -3.653
-4.336 0.903 0.917
1.268 3.546 2.505
ATOMIC_POSITIONS crystal
Sn 0.500 0.500 0.500
Cu 0.000 0.000 0.000
Tc 0.000 0.500 0.000
Tc 0.000 0.000 0.500
Tc 0.500 0.000 0.000
! Uncorrected energy in eV/cell: -32.2
! Crystal system: cubic
! Excess energy over the best structure of this formula in the dataset in meV per atom: 0
! Density of states at the Fermi level in states/eV/cell: 5.84
! Formation energy in eV/atom: 1.3914
! Mass density in g cm⁻³: 8.5

---

! GGA-PBE Hg12Bi5Te3, optimized geometry; values from VASP
&SYSTEM
  ibrav = 0, nat = 80, ntyp = 3
/
ATOMIC_SPECIES
Te 127.60 Te.upf
Bi 208.98 Bi.upf
Hg 200.59 Hg.upf
CELL_PARAMETERS angstrom
15.391 0.000 0.000
-5.130 14.511 0.000
-5.130 -7.255 12.567
ATOMIC_POSITIONS crystal
Te 0.750 0.375 0.125
Te 0.875 0.750 0.125
Te 0.375 0.750 0.625
Te 0.250 0.125 0.375
Te 0.875 0.125 0.250
Te 0.375 0.625 0.250
Te 0.625 0.375 0.750
Te 0.125 0.875 0.750
Te 0.750 0.875 0.625
Te 0.625 0.250 0.375
Te 0.125 0.250 0.875
Te 0.250 0.625 0.875
Bi 0.125 0.375 0.250
Bi 0.000 0.500 0.000
Bi 0.000 0.000 0.000
Bi 0.375 0.250 0.125
Bi 0.500 0.000 0.500
Bi 0.500 0.500 0.000
Bi 0.125 0.750 0.375
Bi 0.750 0.125 0.875
Bi 0.750 0.625 0.375
Bi 0.375 0.125 0.750
Bi 0.625 0.875 0.250
Bi 0.500 0.500 0.500
Bi 0.500 0.000 0.000
Bi 0.000 0.000 0.500
Bi 0.250 0.375 0.625
Bi 0.250 0.875 0.125
Bi 0.000 0.500 0.500
Bi 0.875 0.250 0.625
Bi 0.625 0.750 0.875
Bi 0.875 0.625 0.750
Hg 0.730 0.115 0.053
Hg 0.323 0.553 0.438
Hg 0.947 0.385 0.270
Hg 0.553 0.230 0.115
Hg 0.615 0.730 0.677
Hg 0.947 0.562 0.177
Hg 0.323 0.770 0.385
Hg 0.062 0.885 0.115
Hg 0.562 0.947 0.677
Hg 0.730 0.615 0.177
Hg 0.770 0.447 0.385
Hg 0.823 0.938 0.053
Hg 0.115 0.730 0.553
Hg 0.385 0.438 0.115
Hg 0.115 0.938 0.385
Hg 0.385 0.115 0.562
Hg 0.115 0.177 0.230
Hg 0.447 0.677 0.062
Hg 0.823 0.885 0.270
Hg 0.115 0.385 0.062
Hg 0.385 0.947 0.770
Hg 0.562 0.615 0.385
Hg 0.938 0.823 0.553
Hg 0.770 0.323 0.885
Hg 0.438 0.385 0.615
Hg 0.062 0.177 0.447
Hg 0.230 0.677 0.115
Hg 0.177 0.115 0.730
Hg 0.615 0.053 0.230
Hg 0.885 0.615 0.938
Hg 0.553 0.323 0.938
Hg 0.615 0.885 0.438
Hg 0.885 0.823 0.770
Hg 0.885 0.062 0.615
Hg 0.885 0.270 0.447
Hg 0.177 0.062 0.947
Hg 0.615 0.562 0.885
Hg 0.438 0.053 0.323
Hg 0.270 0.385 0.823
Hg 0.230 0.553 0.615
Hg 0.938 0.115 0.885
Hg 0.677 0.230 0.615
Hg 0.447 0.770 0.885
Hg 0.053 0.438 0.823
Hg 0.385 0.270 0.323
Hg 0.053 0.615 0.730
Hg 0.677 0.447 0.562
Hg 0.270 0.885 0.947
! Uncorrected energy in eV/cell: -119.7
! Crystal system: cubic
! Energy relative to the elements, uncorrected in eV per atom: 0.1266
! Density of states at the Fermi level in states/eV/cell: 39.04
! Mass density in g cm⁻³: 9.1

---

! GGA-PBE ReMo4Rh2, optimized geometry; values from VASP
&SYSTEM
  ibrav = 0, nat = 7, ntyp = 3
/
ATOMIC_SPECIES
Re 186.21 Re.upf
Mo 95.94 Mo.upf
Rh 102.91 Rh.upf
CELL_PARAMETERS angstrom
4.691 0.000 0.000
0.000 4.691 0.000
2.346 2.346 6.275
ATOMIC_POSITIONS crystal
Re 0.000 0.000 0.000
Mo 0.806 0.806 0.389
Mo 0.194 0.194 0.611
Mo 0.000 0.500 0.000
Mo 0.500 0.000 0.000
Rh 0.615 0.615 0.770
Rh 0.385 0.385 0.230
! Uncorrected energy in eV/cell: -60.8
! Crystal system: tetragonal
! Density of states at the Fermi level in states/eV/cell: 9.65
! Formation energy in eV/atom: 1.3844
! Mass density in g cm⁻³: 9.3

---

! GGA-PBE Rb2PmAsSe4, optimized geometry; values from VASP
&SYSTEM
  ibrav = 0, nat = 16, ntyp = 4
/
ATOMIC_SPECIES
Rb 85.47 Rb.upf
Pm 145.00 Pm.upf
As 74.92 As.upf
Se 78.96 Se.upf
CELL_PARAMETERS angstrom
-0.886 -8.139 3.336
1.477 -3.439 -8.009
5.828 5.722 3.584
ATOMIC_POSITIONS crystal
Rb 0.500 0.000 0.000
Rb 0.500 0.000 0.500
Rb 0.000 0.000 0.500
Rb 0.500 0.500 0.000
Pm 0.000 0.500 0.000
Pm 0.000 0.500 0.500
As 0.500 0.500 0.500
As 0.000 0.000 0.000
Se 0.198 0.747 0.972
Se 0.753 0.302 0.528
Se 0.247 0.698 0.472
Se 0.802 0.253 0.028
Se 0.763 0.737 0.954
Se 0.763 0.737 0.546
Se 0.237 0.263 0.454
Se 0.237 0.263 0.046
! Uncorrected energy in eV/cell: -67.3
! Crystal system: orthorhombic
! Energy relative to the elements, uncorrected in eV per atom: -1.0447
! Mass density in g cm⁻³: 4.8

---

! GGA-PBE ScTi4Sn3, optimized geometry; values from VASP
&SYSTEM
  ibrav = 0, nat = 8, ntyp = 3
/
ATOMIC_SPECIES
Sc 44.96 Sc.upf
Ti 47.87 Ti.upf
Sn 118.71 Sn.upf
CELL_PARAMETERS angstrom
-2.125 1.716 -1.369
-4.655 -6.003 -0.299
0.721 3.896 7.172
ATOMIC_POSITIONS crystal
Sc 0.500 0.000 0.000
Ti 0.356 0.542 0.712
Ti 0.644 0.458 0.288
Ti 0.644 0.830 0.288
Ti 0.356 0.170 0.712
Sn 0.000 0.500 0.000
Sn 0.185 0.185 0.370
Sn 0.815 0.815 0.630
! Uncorrected energy in eV/cell: -50.7
! Crystal system: orthorhombic
! Density of states at the Fermi level in states/eV/cell: 10.79
! Formation energy in eV/atom: -0.0996
! Mass density in g cm⁻³: 6.0

---

! GGA-PBE La6SeS2N3, optimized geometry; values from VASP
&SYSTEM
  ibrav = 0, nat = 12, ntyp = 4
/
ATOMIC_SPECIES
La 138.91 La.upf
Se 78.96 Se.upf
S 32.06 S.upf
N 14.01 N.upf
CELL_PARAMETERS angstrom
3.906 0.000 0.000
0.000 8.105 0.070
-1.953 -2.569 8.411
ATOMIC_POSITIONS crystal
La 0.322 0.935 0.645
La 0.659 0.603 0.319
La 0.678 0.065 0.355
La 0.991 0.277 0.982
La 0.009 0.723 0.018
La 0.341 0.397 0.681
Se 0.500 0.000 0.000
S 0.834 0.667 0.667
S 0.166 0.333 0.333
N 0.500 0.500 0.000
N 0.832 0.169 0.664
N 0.168 0.831 0.336
! Uncorrected energy in eV/cell: -87.0
! Crystal system: monoclinic
! Energy relative to the elements, uncorrected in eV per atom: -1.7237
! Density of states at the Fermi level in states/eV/cell: 4.53
! Mass density in g cm⁻³: 6.3

---

The highest uncorrected energy belongs to which entry? CeSc3H

---

Copy entry 2 word for word.
! GGA-PBE MgFe2Ni2, optimized geometry; values from VASP
&SYSTEM
  ibrav = 0, nat = 10, ntyp = 3
/
ATOMIC_SPECIES
Ni 58.69 Ni.upf
Mg 24.30 Mg.upf
Fe 55.84 Fe.upf
CELL_PARAMETERS angstrom
7.070 0.000 0.000
0.000 7.070 0.000
0.000 0.000 2.594
ATOMIC_POSITIONS crystal
Ni 0.176 0.676 0.500
Ni 0.676 0.824 0.500
Ni 0.824 0.324 0.500
Ni 0.324 0.176 0.500
Mg 0.000 0.000 0.000
Mg 0.500 0.500 0.000
Fe 0.382 0.882 0.000
Fe 0.882 0.618 0.000
Fe 0.618 0.118 0.000
Fe 0.118 0.382 0.000
! Uncorrected energy in eV/cell: -59.7
! Crystal system: tetragonal
! Excess energy over the best structure of this formula in the dataset in meV per atom: 15
! Density of states at the Fermi level in states/eV/cell: 8.48
! Formation energy in eV/atom: 0.0514
! Mass density in g cm⁻³: 6.5